Record 1
A geometry-optimized Ho2Th4Sb3N2 structure, computed with PBE.

a b c (Å): 4.736 4.736 26.096
angles (deg): 90.00 90.00 90.00
Space group I4/mmm (No. 139)
One atom of each set of equivalent atoms:
Ho 0.000 0.000 0.197 x4
Th 0.000 0.500 0.086 x8
Sb 0.000 0.000 0.319 x4
Sb 0.000 0.000 0.500 x2
N 0.000 0.000 0.110 x4

Calculated values
formation energy without anion corrections = -1040 kJ/mol of formula units
magnetic moment = 0.0 μB per formula unit
N(E_F) = 18.4 states/eV/cell


Record 2
A geometry-optimized MnHgTe2 structure, computed with PBE.

a b c (Å): 7.777 4.486 13.842
angles (deg): 90.00 90.00 90.00
Space group Pnma (No. 62)
One atom of each set of equivalent atoms:
Mn 0.226 0.250 0.167 x4
Hg 0.240 0.250 0.963 x4
Te 0.119 0.250 0.619 x4
Te 0.119 0.750 0.840 x4

Calculated values
formation energy without anion corrections = -9 kJ/mol of formula units
magnetic moment = 4.0 μB per formula unit
N(E_F) = 9.3 states/eV/cell


Record 3
A geometry-optimized Li2TaTe structure, computed with PBE.

a b c (Å): 5.601 9.635 2.893
angles (deg): 90.00 90.00 90.00
Space group Cmmm (No. 65)
One atom of each set of equivalent atoms:
Li 0.250 0.250 0.000 x4
Ta 0.000 0.000 0.500 x2
Te 0.000 0.500 0.500 x2

Calculated values
formation energy without anion corrections = 80 kJ/mol of formula units
magnetic moment = 0.0 μB per formula unit
N(E_F) = 5.3 states/eV/cell